MgSc3O: relaxed, GGA-PBEsol.

abc: 4.4457 4.4457 4.4457
angles: 90.00 90.00 90.00
With the nearest neighbours (Å) after each atom.
Space group Pm-3m (No. 221)
Unique sites:
1 Mg 0.0000 0.0000 0.0000 (multiplicity 1)  12 Sc 3.14
2 Sc 0.0000 0.5000 0.5000 (multiplicity 3)  2 O 2.22
3 O 0.5000 0.5000 0.5000 (multiplicity 1)  6 Sc 2.22

Calculated values
magnetic moment	0.0	μB per formula unit
E_form (uncorrected)	-1.28	eV/atom
final energy	-0.48809	Ry/atom